Compound: Cu2Ag3
Source: the Open Quantum Materials Database
Functional: GGA-PBE
Structure: relaxed

Cell lengths 2.8384, 3.8313, 14.2585 Å; angles 90.00, 90.00, 90.00 degrees
Sites, in units of the cell vectors:
Ag 0.0000 0.0000 0.1977
Ag 0.0000 0.0000 0.8081
Ag 0.5000 0.5000 0.0876
Ag 0.5000 0.5000 0.5022
Ag 0.5000 0.5000 0.3068
Ag 0.5000 0.5000 0.6980
Cu 0.5000 0.5000 0.9037
Cu 0.0000 0.0000 0.4056
Cu 0.0000 0.0000 0.5978
Cu 0.0000 0.0000 0.9924

Its space-group type is No. 25. The energy relative to the lowest polymorph listed for this composition is 56 meV per atom. The final energy is -3.093 eV/atom.


Compound: Tb2Ho2Br3
Source: the Open Quantum Materials Database
Functional: GGA-PBE
Structure: relaxed

Cell lengths 14.2358, 14.2358, 3.5085 Å; angles 90.00, 90.00, 165.62 degrees
Site moments in Bohr magnetons follow the coordinates.
Sites, in units of the cell vectors:
Br 0.0000 0.0000 0.5000  0.00
Br 0.1224 0.8776 0.5000  0.00
Br 0.8776 0.1224 0.5000  0.00
Ho 0.5642 0.4358 0.0000  0.01
Ho 0.4358 0.5642 0.0000  0.01
Tb 0.7017 0.2983 0.0000  0.26
Tb 0.2983 0.7017 0.0000  0.26

The total magnetization comes out at 0.70 μB/cell. Its space-group type is No. 65. The final energy is -3.909 eV/atom.


Compound: NbTlMo
Source: the Open Quantum Materials Database
Functional: GGA-PBE
Structure: relaxed

Cell lengths 4.5648, 4.5648, 4.5648 Å; angles 60.00, 60.00, 60.00 degrees
Sites, in units of the cell vectors:
Tl 0.7500 0.7500 0.7500
Mo 0.2500 0.2500 0.2500
Nb 0.0000 0.0000 0.0000

The total magnetization comes out at 0.00 μB/cell. Its space-group type is No. 216. The energy relative to the lowest polymorph listed for this composition is 0 meV per atom. The final energy is -6.649 eV/atom.